A plane-wave DFT calculation with GGA-PBE was carried out for a relaxed structure of Na2NpHg2O6.

Output
The value obtained for the magnetic moment is 1.01 μB per cell. The value obtained for the theoretical density is 7782 kg/m³. The total energy comes out at -5.7050 eV/atom. The calculation puts the uncorrected formation energy at -16.823 eV per formula unit. Its symmetry is C2/m.

Cell: 5.7460 5.7460 6.2626 Å, 106.37 106.37 111.52°
Last column: nearest neighbours and their distance in Å.
Positions (direct):
Na (0.1515, 0.8485, 0.0000)  4 O 2.34
Na (0.8485, 0.1515, 0.0000)  4 O 2.34
Np (0.5000, 0.5000, 0.0000)  6 O 2.05-2.20
Hg (0.3125, 0.6875, 0.5000)  4 O 2.31-2.35
Hg (0.6875, 0.3125, 0.5000)  4 O 2.31-2.35
O (0.1108, 0.4185, 0.7879)  1 Np 2.05
O (0.3243, 0.3243, 0.2225)  1 Np 2.20, 2 Na 2.34, 2 Hg 2.35
O (0.4185, 0.1108, 0.7879)  1 Np 2.05
O (0.5815, 0.8892, 0.2121)  1 Np 2.05
O (0.6757, 0.6757, 0.7775)  1 Np 2.20, 2 Na 2.34, 2 Hg 2.35
O (0.8892, 0.5815, 0.2121)  1 Np 2.05



A plane-wave DFT calculation with GGA-PBE was carried out for a relaxed structure of NaNpHg2O6.

Output
The value obtained for the magnetic moment is 0.00 μB per cell. The value obtained for the theoretical density is 8399 kg/m³. The total energy comes out at -5.9391 eV/atom. The calculation puts the uncorrected formation energy at -14.778 eV per formula unit. Its symmetry is P-1.

Cell: 5.8719 5.8778 6.0437 Å, 90.03 119.03 119.94°
Last column: nearest neighbours and their distance in Å.
Positions (direct):
Na (0.0000, 0.0000, 0.0000)  6 O 2.44
Np (0.0000, 0.5000, 0.5000)  6 O 2.04
Hg (0.4696, 0.7355, 0.2048)  3 O 2.22-2.23
Hg (0.5304, 0.2645, 0.7952)  3 O 2.22-2.23
O (0.1105, 0.4015, 0.2597)  1 Np 2.04, 1 Hg 2.23
O (0.1420, 0.2919, 0.7404)  1 Np 2.04, 1 Hg 2.23
O (0.4490, 0.8503, 0.7408)  1 Np 2.04, 1 Hg 2.22
O (0.5510, 0.1497, 0.2592)  1 Np 2.04, 1 Hg 2.22
O (0.8580, 0.7081, 0.2596)  1 Np 2.04, 1 Hg 2.23
O (0.8895, 0.5985, 0.7403)  1 Np 2.04, 1 Hg 2.23



A plane-wave DFT calculation with GGA-PBE was carried out for a relaxed structure of Na3Np3HgS8.

Output
The value obtained for the magnetic moment is 10.00 μB per cell. The value obtained for the theoretical density is 5645 kg/m³. The total energy comes out at -6.1887 eV/atom. The calculation puts the uncorrected formation energy at -16.730 eV per formula unit. Its symmetry is C2/m.

Cell: 7.9301 7.9301 8.0968 Å, 119.31 119.31 60.05°
Last column: nearest neighbours and their distance in Å.
Positions (direct):
Na (0.0000, 0.0000, 0.0000)  6 S 2.93-2.97
Na (0.0000, 0.5000, 0.0000)  6 S 2.93-2.97
Na (0.5000, 0.0000, 0.0000)  6 S 2.93-2.97
Np (0.0000, 0.5000, 0.5000)  6 S 2.71-2.74
Np (0.5000, 0.0000, 0.5000)  6 S 2.71-2.74
Np (0.5000, 0.5000, 0.5000)  6 S 2.71-2.74
Hg (0.0000, 0.0000, 0.5000)  6 S 2.80-2.82
S (0.2474, 0.2474, 0.7250)  2 Np 2.71, 1 Hg 2.80, 2 Na 2.97
S (0.2484, 0.7290, 0.7257)  2 Np 2.71, 1 Hg 2.82, 2 Na 2.97
S (0.2577, 0.2577, 0.2735)  3 Np 2.74, 3 Na 2.93
S (0.2710, 0.7516, 0.2743)  2 Np 2.71, 1 Hg 2.82, 2 Na 2.97
S (0.7290, 0.2484, 0.7257)  2 Np 2.71, 1 Hg 2.82, 2 Na 2.97
S (0.7423, 0.7423, 0.7265)  3 Np 2.74, 3 Na 2.93
S (0.7516, 0.2710, 0.2743)  2 Np 2.71, 1 Hg 2.82, 2 Na 2.97
S (0.7526, 0.7526, 0.2750)  2 Np 2.71, 1 Hg 2.80, 2 Na 2.97



A plane-wave DFT calculation with GGA-PBE was carried out for a relaxed structure of Na4Np3HgS8.

Output
The value obtained for the magnetic moment is 10.91 μB per cell. The value obtained for the theoretical density is 5620 kg/m³. The total energy comes out at -5.9973 eV/atom. The calculation puts the uncorrected formation energy at -18.538 eV per formula unit. Its symmetry is R-3m.

Cell: 8.1066 8.1066 8.1066 Å, 59.48 59.48 59.48°
Last column: nearest neighbours and their distance in Å.
Positions (direct):
Na (0.0000, 0.0000, 0.0000)  6 S 2.88
Na (0.0000, 0.5000, 0.5000)  6 S 2.95-2.98
Na (0.5000, 0.0000, 0.5000)  6 S 2.95-2.98
Na (0.5000, 0.5000, 0.0000)  6 S 2.95-2.98
Np (0.0000, 0.0000, 0.5000)  6 S 2.74-2.76
Np (0.0000, 0.5000, 0.0000)  6 S 2.74-2.76
Np (0.5000, 0.0000, 0.0000)  6 S 2.74-2.76
Hg (0.5000, 0.5000, 0.5000)  6 S 2.84
S (0.2315, 0.7480, 0.7480)  2 Np 2.74, 1 Hg 2.84, 3 Na 2.88-2.98
S (0.2417, 0.2417, 0.2417)  3 Np 2.76, 3 Na 2.95
S (0.2520, 0.2520, 0.7685)  2 Np 2.74, 1 Hg 2.84, 3 Na 2.88-2.98
S (0.2520, 0.7685, 0.2520)  2 Np 2.74, 1 Hg 2.84, 3 Na 2.88-2.98
S (0.7480, 0.2315, 0.7480)  2 Np 2.74, 1 Hg 2.84, 3 Na 2.88-2.98
S (0.7480, 0.7480, 0.2315)  2 Np 2.74, 1 Hg 2.84, 3 Na 2.88-2.98
S (0.7583, 0.7583, 0.7583)  3 Np 2.76, 3 Na 2.95
S (0.7685, 0.2520, 0.2520)  2 Np 2.74, 1 Hg 2.84, 3 Na 2.88-2.98



> What is the formula in the third record?

Na3Np3HgS8



> magnetic moment of number 2 (NaNpHg2O6)?

0.00 μB per cell



> Which of these has the highest theoretical density?

NaNpHg2O6



> Which value of magnetic moment does entry 4 give?

10.91 μB per cell